Entry 1:
DFT (PBE-GGA) results for an optimized crystal structure of Al6Zn2Cr.

Unit cell a=4.8037 b=4.8037 c=7.1051 alpha=99.45 beta=99.45 gamma=59.43
Fractional coordinates of all 9 atoms:
1 Al 0.1052 0.1052 0.1765
2 Al 0.2147 0.2147 0.8336
3 Al 0.3327 0.3327 0.5048
4 Al 0.6673 0.6673 0.4952
5 Al 0.7853 0.7853 0.1664
6 Al 0.8948 0.8948 0.8235
7 Zn 0.4451 0.4451 0.1721
8 Zn 0.5549 0.5549 0.8279
9 Cr 0.0000 0.0000 0.5000

## Properties
Crystal system: monoclinic
Spin magnetization: 0.8 μB/f.u.
N(E_F): 3.76 states/eV per cell
Energy of formation from the pure elements: 62.3 meV/atom
Symmetry: No. 12



Entry 2:
DFT (PBE-GGA) results for an optimized crystal structure of Al8ZnCr2.

Unit cell a=6.6871 b=6.6871 c=4.8484 alpha=102.40 beta=102.40 gamma=62.21
Fractional coordinates of all 11 atoms:
1 Al 0.1382 0.7521 0.7243
2 Al 0.1623 0.1623 0.8429
3 Al 0.2479 0.8618 0.2757
4 Al 0.2753 0.2753 0.4057
5 Al 0.7247 0.7247 0.5943
6 Al 0.7521 0.1382 0.7243
7 Al 0.8377 0.8377 0.1571
8 Al 0.8618 0.2479 0.2757
9 Zn 0.5000 0.5000 0.5000
10 Cr 0.3970 0.3970 0.9571
11 Cr 0.6030 0.6030 0.0429

## Properties
Crystal system: monoclinic
Spin magnetization: 2.0 μB/f.u.
N(E_F): 6.46 states/eV per cell
Energy of formation from the pure elements: 213.2 meV/atom
Symmetry: No. 12



Entry 3:
DFT (PBE-GGA) results for an optimized crystal structure of Al6ZnCr2.

Unit cell a=6.2916 b=6.2916 c=6.1998 alpha=108.99 beta=108.99 gamma=35.25
Fractional coordinates of all 9 atoms:
1 Al 0.1010 0.1010 0.1568
2 Al 0.2195 0.2195 0.8469
3 Al 0.3370 0.3370 0.4987
4 Al 0.6630 0.6630 0.5013
5 Al 0.7805 0.7805 0.1531
6 Al 0.8990 0.8990 0.8432
7 Zn 0.0000 0.0000 0.5000
8 Cr 0.4426 0.4426 0.1736
9 Cr 0.5574 0.5574 0.8264

## Properties
Crystal system: monoclinic
Spin magnetization: 3.4 μB/f.u.
N(E_F): 3.57 states/eV per cell
Energy of formation from the pure elements: -36.3 meV/atom
Symmetry: No. 12



What is the energy of formation from the pure elements in the third record? -36.3 meV/atom



What is the formula in the third record? Al6ZnCr2



Which value of spin magnetization does entry 3 give? 3.4 μB/f.u.



The lowest energy of formation from the pure elements belongs to which entry? Al6ZnCr2